The following is a PBE calculation of crystalline Ca4AlAg2 at its relaxed geometry, from Alexandria.

Energy (eV per atom): -2.43
Space-group type: No. 139

a = 5.8581 Å, b = 5.8581 Å, c = 8.4282 Å
α = 69.66°, β = 69.66°, γ = 90.00°
With the nearest neighbours (Å) after each atom.
Fractional positions:
1 Ca 0.0000 0.5000 0.0000  2 Al 2.93, 4 Ag 3.25
2 Ca 0.5000 0.0000 0.0000  2 Al 2.93, 4 Ag 3.25
3 Ca 0.2011 0.2011 0.5977  1 Al 2.95, 1 Ag 2.99
4 Ca 0.7989 0.7989 0.4023  1 Al 2.95, 1 Ag 2.99
5 Al 0.0000 0.0000 0.0000  6 Ca 2.93-2.95
6 Ag 0.4046 0.4046 0.1909  1 Ag 2.80, 1 Ca 2.99
7 Ag 0.5954 0.5954 0.8091  1 Ag 2.80, 1 Ca 2.99